Material: SrAgSb2S4
Method: DFT, PBE
State: relaxed

Calculated values
* V: 24.153 A^3/atom
* calculated total energy: -4.222 eV per atom
* raw formation energy: -0.56 eV per atom

a = 4.325 Å, b = 6.827 Å, c = 13.799 Å
α = 90.00°, β = 90.00°, γ = 108.47°
Fractional positions:
S  0.273  0.547  0.112
Sr  0.871  0.742  0.250
S  0.000  0.000  0.000
Sb  0.377  0.754  0.951
Sr  0.129  0.258  0.750
Ag  0.868  0.735  0.750
S  0.727  0.453  0.612
S  0.534  0.068  0.250
S  0.000  0.000  0.500
S  0.466  0.932  0.750
Sb  0.623  0.246  0.451
S  0.727  0.453  0.888
Ag  0.132  0.265  0.250
Sb  0.377  0.754  0.549
Sb  0.623  0.246  0.049
S  0.273  0.547  0.388

***

Material: CsInF2
Method: DFT, PBE
State: relaxed

Calculated values
* V: 25.734 A^3/atom
* E above lowest polymorph: 0.00 eV/f.u.
* calculated total energy: -4.037 eV per atom
* raw formation energy: -2.20 eV per atom

a = 6.609 Å, b = 6.609 Å, c = 8.163 Å
α = 90.00°, β = 90.00°, γ = 120.00°
Fractional positions:
In  0.301  0.301  0.500
F  0.377  0.843  0.992
F  0.843  0.377  0.008
F  0.465  0.623  0.659
Cs  0.353  0.353  0.000
In  0.000  0.699  0.167
F  0.157  0.535  0.326
In  0.699  0.000  0.833
Cs  0.000  0.647  0.667
F  0.623  0.465  0.341
Cs  0.647  0.000  0.333
F  0.535  0.157  0.674

***

Q: Which formula does entry 2 have?
A: CsInF2